No. 1
NpGaBi2: relaxed, PBE.

a b c (Å): 4.125 4.125 6.415
angles (deg): 90.00 90.00 90.00
Element x y z (fractional)
Np  0.000  0.000  0.000
Ga  0.000  0.000  0.500
Bi  0.500  0.500  0.251
Bi  0.500  0.500  0.749

Output
Offset from the most stable computed form ... 0.046 eV/atom
Energy of formation from the pure elements ... 3 kJ/mol of atoms

---

No. 2
MnNbAu3: relaxed, PBE.

a b c (Å): 5.106 5.106 5.106
angles (deg): 90.00 90.00 90.00
Element x y z (fractional)
Mn  0.000  0.000  0.000
Nb  0.500  0.500  0.500
Au  0.000  0.500  0.500
Au  0.500  0.000  0.500
Au  0.500  0.500  0.000

Output
Offset from the most stable computed form ... 0.000 eV/atom
Energy of formation from the pure elements ... 106 kJ/mol of atoms

---

No. 3
Si2IrW: relaxed, PBE.

a b c (Å): 4.302 4.302 2.958
angles (deg): 90.00 90.00 90.00
Element x y z (fractional)
Si  0.000  0.500  0.000
Si  0.500  0.000  0.000
Ir  0.000  0.000  0.500
W  0.500  0.500  0.500

Output
Offset from the most stable computed form ... 0.015 eV/atom
ΔE_f (raw) ... -27.8 kJ/mol of atoms

---

No. 4
TaTeBr2: relaxed, PBE.

a b c (Å): 7.551 7.551 3.460
angles (deg): 90.00 90.00 137.80
Element x y z (fractional)
Ta  0.000  0.000  0.000
Te  0.500  0.500  0.000
Br  0.141  0.859  0.500
Br  0.859  0.141  0.500

Output
Offset from the most stable computed form ... 0.000 eV/atom
ΔE_f (raw) ... -42.4 kJ/mol of atoms

---

No. 5
LaNi5P2: relaxed, PBE.

a b c (Å): 5.873 5.873 5.873
angles (deg): 142.57 113.21 79.15
Element x y z (fractional)
La  0.000  0.000  0.000
Ni  0.155  0.343  0.812
Ni  0.470  0.657  0.812
Ni  0.500  0.000  0.500
Ni  0.530  0.343  0.188
Ni  0.845  0.657  0.188
P  0.260  0.760  0.500
P  0.740  0.240  0.500

Output
Energy of formation from the pure elements ... -67 kJ/mol of atoms

---

No. 6
CuTePtI2: relaxed, PBE.

a b c (Å): 5.538 5.538 5.293
angles (deg): 90.00 90.00 90.00
Element x y z (fractional)
Cu  0.000  0.000  0.000
Te  0.500  0.500  0.000
Pt  0.500  0.500  0.500
I  0.000  0.500  0.500
I  0.500  0.000  0.500

Output
Offset from the most stable computed form ... 0.000 eV/atom
ΔE_f (raw) ... 56.7 kJ/mol of atoms

---

No. 7
BaY2Au: relaxed, PBE.

a b c (Å): 3.801 3.801 9.305
angles (deg): 90.00 90.00 90.00
Element x y z (fractional)
Ba  0.000  0.000  0.000
Y  0.000  0.000  0.599
Y  0.500  0.500  0.348
Au  0.500  0.500  0.747

Output
Offset from the most stable computed form ... 0.000 eV/atom
Energy of formation from the pure elements ... -29 kJ/mol of atoms

---

No. 8
BaTb2NpO8: relaxed, PBE.

a b c (Å): 4.358 5.396 7.767
angles (deg): 91.53 92.84 92.04
Element x y z (fractional)
Ba  0.000  0.000  0.000
Tb  0.453  0.475  0.737
Tb  0.547  0.525  0.263
Np  0.000  0.000  0.500
O  0.064  0.727  0.298
O  0.136  0.805  0.696
O  0.381  0.233  0.486
O  0.482  0.299  0.002
O  0.518  0.701  0.998
O  0.619  0.767  0.514
O  0.864  0.195  0.304
O  0.936  0.273  0.702

Output
ΔE_f (raw) ... -273.9 kJ/mol of atoms

---

No. 9
ZrCoN3: relaxed, PBE.

a b c (Å): 3.653 3.653 3.653
angles (deg): 90.00 90.00 90.00
Element x y z (fractional)
Zr  0.000  0.000  0.000
Co  0.500  0.500  0.500
N  0.000  0.500  0.500
N  0.500  0.000  0.500
N  0.500  0.500  0.000

Output
ΔE_f (raw) ... 27.0 kJ/mol of atoms

---

No. 10
TbTiIr: relaxed, PBE.

a b c (Å): 4.384 4.380 6.589
angles (deg): 90.00 90.10 90.00
Element x y z (fractional)
Tb  0.250  0.250  0.142
Tb  0.750  0.750  0.858
Ti  0.250  0.750  0.500
Ti  0.750  0.250  0.500
Ir  0.252  0.250  0.703
Ir  0.748  0.750  0.297

Output
Energy of formation from the pure elements ... -68 kJ/mol of atoms

---

No. 11
AlFePb2: relaxed, PBE.

a b c (Å): 5.275 5.275 3.291
angles (deg): 90.08 90.08 100.60
Element x y z (fractional)
Al  0.000  0.000  0.000
Fe  0.500  0.500  0.000
Pb  0.000  0.500  0.500
Pb  0.500  0.000  0.500

Output
Energy of formation from the pure elements ... 52 kJ/mol of atoms

---

No. 12
Te2Os: relaxed, PBE.

a b c (Å): 6.895 6.895 6.681
angles (deg): 106.39 106.39 31.71
Element x y z (fractional)
Te  0.000  0.000  0.000
Te  0.534  0.534  0.527
Te  0.737  0.737  0.032
Te  0.801  0.801  0.597
Os  0.348  0.348  0.903
Os  0.923  0.923  0.314

Output
ΔE_f (raw) ... 20.8 kJ/mol of atoms